[1]
A plane-wave DFT calculation with PBE-GGA was carried out for a geometry-optimized Ba3Pm3YSe8 structure.

## Properties
- space group = R-3m, No. 166
- volume (Å³/cell) = 482.8
- energy (eV/atom) = -5.568

```
15
Lattice="8.588 0.000 0.000 -4.294 7.437 -0.027 0.000 -4.930 7.576" Properties=species:S:1:pos:R:3 pbc="T T T"
Ba 0.000 0.000 0.000
Ba -2.147 3.719 -0.013
Ba 2.147 3.719 -0.013
Pm 4.294 -2.465 3.788
Pm 2.147 1.253 3.775
Pm -2.147 1.253 3.775
Y 0.000 -2.465 3.788
Se 0.000 2.485 2.100
Se 4.294 0.022 5.450
Se 4.294 2.529 2.149
Se 0.000 -0.022 5.400
Se 6.474 -1.254 2.167
Se -2.180 3.761 5.383
Se 2.114 -1.254 2.167
Se 2.180 3.761 5.383
```

[2]
A plane-wave DFT calculation with PBE-GGA was carried out for a geometry-optimized LaY2Tl structure.

## Properties
- relative energy among the computed polymorphs (kJ per mole of atoms) = 6.35
- space group = I4/mmm, No. 139
- volume (Å³/cell) = 122.0
- formation energy from the elements (eV/atom) = -0.130

```
4
Lattice="6.137 -0.013 0.000 2.221 5.721 0.000 -4.179 -2.854 3.472" Properties=species:S:1:pos:R:3 pbc="T T T"
La 1.111 2.860 1.736
Tl 3.068 -0.007 1.736
Y 0.000 0.000 0.000
Y 4.179 2.854 0.000
```

[3]
A plane-wave DFT calculation with PBE-GGA was carried out for a geometry-optimized Pm2Sn3 structure.

## Properties
- relative energy among the computed polymorphs (kJ per mole of atoms) = 0.00
- space group = P4/m, No. 83
- volume (Å³/cell) = 279.5
- formation energy from the elements (eV/atom) = -0.663

```
10
Lattice="-0.973 -4.533 -0.054 3.077 -0.745 7.089 -6.939 1.452 3.165" Properties=species:S:1:pos:R:3 pbc="T T T"
Pm -4.278 -1.544 7.604
Pm -4.861 -1.366 3.203
Pm 0.027 -2.461 6.996
Pm -0.557 -2.283 2.595
Sn -4.517 0.905 5.440
Sn -1.631 0.257 7.771
Sn 0.656 -0.198 4.813
Sn -2.231 0.449 2.483
Sn -2.417 -1.913 5.100
Sn 0.000 0.000 0.000
```

[4]
A plane-wave DFT calculation with PBE-GGA was carried out for a geometry-optimized LiCuOs structure.

## Properties
- relative energy among the computed polymorphs (kJ per mole of atoms) = 18.26
- space group = Imm2, No. 44
- volume (Å³/cell) = 39.3
- formation energy from the elements (eV/atom) = 0.377

```
3
Lattice="4.599 -0.046 0.029 2.209 4.033 -0.029 -2.877 -2.893 2.122" Properties=species:S:1:pos:R:3 pbc="T T T"
Cu 0.022 0.013 0.000
Li 2.279 1.334 0.000
Os 4.508 2.640 0.000
```

> Which formula does entry 4 have?

LiCuOs

> What is the formula in the second record?

LaY2Tl

> Which value of volume does entry 4 give?

39.3 Å³/cell

Repeat the first record exactly.
A plane-wave DFT calculation with PBE-GGA was carried out for a geometry-optimized Ba3Pm3YSe8 structure.

## Properties
- space group = R-3m, No. 166
- volume (Å³/cell) = 482.8
- energy (eV/atom) = -5.568

```
15
Lattice="8.588 0.000 0.000 -4.294 7.437 -0.027 0.000 -4.930 7.576" Properties=species:S:1:pos:R:3 pbc="T T T"
Ba 0.000 0.000 0.000
Ba -2.147 3.719 -0.013
Ba 2.147 3.719 -0.013
Pm 4.294 -2.465 3.788
Pm 2.147 1.253 3.775
Pm -2.147 1.253 3.775
Y 0.000 -2.465 3.788
Se 0.000 2.485 2.100
Se 4.294 0.022 5.450
Se 4.294 2.529 2.149
Se 0.000 -0.022 5.400
Se 6.474 -1.254 2.167
Se -2.180 3.761 5.383
Se 2.114 -1.254 2.167
Se 2.180 3.761 5.383
```